# PBE-GGA SiNiIr, relaxed
data_SiNiIr
_space_group_name_H-M_alt 'P 3 m 1'
_space_group_IT_number 156
_cell_length_a 2.7851
_cell_length_b 2.7851
_cell_length_c 5.7557
_cell_angle_alpha 90.00
_cell_angle_beta 90.00
_cell_angle_gamma 120.00
loop_
_space_group_symop_operation_xyz
'x,y,z'
'-y,x-y,z'
'-x+y,-x,z'
'-y,-x,z'
'-x+y,y,z'
'x,x-y,z'
loop_
_atom_site_label
_atom_site_fract_x
_atom_site_fract_y
_atom_site_fract_z
_atom_site_occupancy
Si1 0.0000 0.0000 0.0000 1
Ni1 0.3333 0.6667 0.7053 1
Ir1 0.6667 0.3333 0.3234 1
# Formation energy without anion corrections ... -284.5 meV/atom
# Mass density ... 12.0 g/cm3

# PBE-GGA Si4Ni5Ir4, relaxed
data_Si4Ni5Ir4
_space_group_name_H-M_alt 'I 4/m'
_space_group_IT_number 87
_space_group_name_Hall '-I 4'
_cell_length_a 9.048
_cell_length_b 9.048
_cell_length_c 3.913
_cell_angle_alpha 90.00
_cell_angle_beta 90.00
_cell_angle_gamma 90.00
loop_
_atom_site_label
_atom_site_fract_x
_atom_site_fract_y
_atom_site_fract_z
_atom_site_occupancy
Si1 0.122 0.770 0.000 1
Ni1 0.000 0.000 0.000 1
Ni2 0.090 0.173 0.500 1
Ir1 0.112 0.378 0.000 1
# Formation energy without anion corrections ... -449.0 meV/atom
# Mass density ... 12.2 g/cm3

# PBE-GGA SiNiIr3, relaxed
data_SiNiIr3
_space_group_name_H-M_alt 'P m -3 m'
_space_group_IT_number 221
_space_group_name_Hall '-P 4 2 3'
_cell_length_a 4.389
_cell_length_b 4.389
_cell_length_c 4.389
_cell_angle_alpha 90.00
_cell_angle_beta 90.00
_cell_angle_gamma 90.00
loop_
_atom_site_label
_atom_site_fract_x
_atom_site_fract_y
_atom_site_fract_z
_atom_site_occupancy
Si1 0.000 0.000 0.000 1
Ni1 0.500 0.500 0.500 1
Ir1 0.000 0.000 0.500 1
# Formation energy without anion corrections ... 929.1 meV/atom
# Mass density ... 13.0 g/cm3
# Excess energy over the best structure of this formula in the dataset ... 0.000 eV per atom

# PBE-GGA Sm2Si3Ni4Ir, relaxed
data_Sm2Si3Ni4Ir
_space_group_name_H-M_alt 'P -4 m 2'
_space_group_IT_number 115
_cell_length_a 3.979
_cell_length_b 3.979
_cell_length_c 9.925
_cell_angle_alpha 90.00
_cell_angle_beta 90.00
_cell_angle_gamma 90.00
loop_
_space_group_symop_operation_xyz
'x,y,z'
'y,-x,-z'
'-x,-y,z'
'-y,x,-z'
'-x,y,z'
'-y,-x,-z'
'x,-y,z'
'y,x,-z'
loop_
_atom_site_label
_atom_site_fract_x
_atom_site_fract_y
_atom_site_fract_z
_atom_site_occupancy
Sm1 0.000 0.500 0.248 1
Si1 0.000 0.500 0.879 1
Si2 0.500 0.500 0.500 1
Ni1 0.000 0.000 0.000 1
Ni2 0.000 0.500 0.645 1
Ni3 0.500 0.500 0.000 1
Ir1 0.000 0.000 0.500 1
# Formation energy without anion corrections ... -684.6 meV/atom
# Mass density ... 8.6 g/cm3

Question: Among the records above, which one has the lowest mass density?
Answer: Sm2Si3Ni4Ir